Here is La15Pm4Nd after structural relaxation from the Alexandria database. Energies are from GGA-PBE.

The formation energy comes out at 0.011 eV/atom. As for the total energy: -97.471 eV for the cell shown. The total magnetization is 0.000 μB/cell.

The space group is P4/mmm (No. 123) and the conventional cell measures 5.239, 5.239 and 26.311 Å, with angles of 90.00, 90.00 and 90.00 degrees. The asymmetric unit holds La at (0.000, 0.000, 0.000), La at (0.000, 0.000, 0.200), La at (0.000, 0.000, 0.400), La at (0.000, 0.500, 0.100), La at (0.000, 0.500, 0.300), La at (0.000, 0.500, 0.500), Pm at (0.500, 0.500, 0.200), Pm at (0.500, 0.500, 0.400) and Nd at (0.500, 0.500, 0.000).



Here is CaGaC2Br after structural relaxation from the Alexandria database. Energies are from GGA-PBE.

As for the total energy: -14.680 eV for the cell shown. The total magnetization is 0.016 μB/cell.

The space group is P4/mmm (No. 123) and the conventional cell measures 4.504, 4.504 and 5.080 Å, with angles of 90.00, 90.00 and 90.00 degrees. The asymmetric unit holds Ca at (0.000, 0.000, 0.000), Ga at (0.500, 0.500, 0.000), C at (0.000, 0.500, 0.500) and Br at (0.500, 0.500, 0.500).



Here is BaNb4O12 after structural relaxation from the Alexandria database. Energies are from GGA-PBE.

As for the total energy: -282.840 eV for the cell shown. The total magnetization is 3.498 μB/cell.

The space group is Im-3m (No. 229) and the conventional cell measures 8.048, 8.048 and 8.048 Å, with angles of 90.00, 90.00 and 90.00 degrees. The asymmetric unit holds Ba at (0.000, 0.000, 0.000), Nb at (0.250, 0.250, 0.250) and O at (0.000, 0.246, 0.246).